# Tc2PdRhI | the Alexandria database | PBE-GGA | optimized geometry
data_Tc2PdRhI
_chemical_formula_sum 'Tc2 Pd1 Rh1 I1'
_space_group_name_H-M_alt 'P 4/m m m'
_space_group_IT_number 123
_space_group_name_Hall '-P 4 2'
_cell_length_a 4.805
_cell_length_b 4.805
_cell_length_c 4.805
_cell_angle_alpha 90.00
_cell_angle_beta 90.00
_cell_angle_gamma 90.00
loop_
_atom_site_label
_atom_site_fract_x
_atom_site_fract_y
_atom_site_fract_z
Tc1 0.000 0.500 0.000
Pd1 0.000 0.000 0.500
Rh1 0.500 0.500 0.500
I1 0.000 0.000 0.000
# VASP energy = -4.98 eV/atom
# Total magnetization = 2.21 μB/cell
# E_form (uncorrected) = 1.983 eV/atom